(1)
## K2ReSnO (PBE)

Data for a relaxed structure of K2ReSnO.

Formation energy (no corrections) (eV/atom): 0.065
Symmetry: No. 123

a = 5.797 Å, b = 3.809 Å, c = 5.797 Å
α = 90.00°, β = 90.00°, γ = 90.00°
Each line ends with the local moment (μB).
Atoms (fractional coordinates):
Re  0.000  0.500  0.000  0.34
K  0.000  0.000  0.500  0.00
K  0.500  0.000  0.000  -0.01
Sn  0.500  0.500  0.500  -0.07
O  0.000  0.000  0.000  -0.01

---

(2)
## KRe2SnO8 (PBE)

Data for a relaxed structure of KRe2SnO8.

Formation energy (no corrections) (eV/atom): -1.568
Symmetry: No. 12

a = 7.030 Å, b = 7.019 Å, c = 8.436 Å
α = 43.21°, β = 65.38°, γ = 59.95°
Each line ends with the local moment (μB).
Atoms (fractional coordinates):
K  0.000  0.000  0.000  0.00
Re  0.318  0.223  0.142  0.33
Re  0.682  0.777  0.858  0.33
Sn  0.500  0.500  0.500  0.06
O  0.826  0.591  0.756  0.00
O  0.648  0.539  0.165  0.00
O  0.174  0.409  0.244  0.00
O  0.352  0.461  0.835  0.00
O  0.576  0.947  0.272  0.02
O  0.424  0.053  0.728  0.02
O  0.205  0.947  0.272  0.02
O  0.795  0.053  0.728  0.02

---

(3)
## KSrRe2O8 (PBE)

Data for a relaxed structure of KSrRe2O8.

Formation energy (no corrections) (eV/atom): -1.968
Symmetry: No. 147

a = 6.174 Å, b = 6.174 Å, c = 7.807 Å
α = 90.00°, β = 90.00°, γ = 120.00°
Each line ends with the local moment (μB).
Atoms (fractional coordinates):
K  0.000  0.000  0.000  0.00
Sr  0.000  0.000  0.500  0.01
Re  0.667  0.333  0.215  0.35
Re  0.333  0.667  0.785  0.35
O  0.333  0.667  0.010  0.04
O  0.351  0.177  0.290  0.03
O  0.823  0.175  0.290  0.03
O  0.667  0.333  0.990  0.04
O  0.177  0.825  0.710  0.03
O  0.649  0.823  0.710  0.03
O  0.175  0.351  0.710  0.03
O  0.825  0.649  0.290  0.03

---

(4)
## K2SrReO4 (PBE)

Data for a relaxed structure of K2SrReO4.

Formation energy (no corrections) (eV/atom): -1.765
Symmetry: No. 82

a = 5.802 Å, b = 5.802 Å, c = 5.802 Å
α = 100.13°, β = 114.33°, γ = 114.33°
Each line ends with the local moment (μB).
Atoms (fractional coordinates):
K  0.500  0.750  0.250  0.00
K  0.000  0.000  0.000  0.00
Sr  0.500  0.250  0.750  0.01
Re  0.000  0.500  0.500  0.68
O  0.585  0.290  0.369  0.04
O  0.078  0.294  0.710  0.04
O  0.922  0.631  0.216  0.04
O  0.415  0.784  0.706  0.04

---

(5)
## K3Sr3ReO8 (PBE)

Data for a relaxed structure of K3Sr3ReO8.

Formation energy (no corrections) (eV/atom): -2.115
Symmetry: No. 166

a = 7.213 Å, b = 7.212 Å, c = 7.513 Å
α = 118.69°, β = 90.00°, γ = 120.00°
Atoms (fractional coordinates):
K  0.000  0.000  0.000
K  0.000  0.500  0.000
K  0.500  0.500  0.000
Sr  0.500  0.000  0.500
Sr  0.500  0.500  0.500
Sr  0.000  0.500  0.500
Re  0.000  0.000  0.500
O  0.266  0.533  0.299
O  0.734  0.467  0.701
O  0.815  0.630  0.326
O  0.185  0.370  0.674
O  0.815  0.011  0.326
O  0.185  0.989  0.674
O  0.196  0.011  0.326
O  0.804  0.989  0.674

---

(6)
## K4SrRe3O12 (PBE)

Data for a relaxed structure of K4SrRe3O12.

Formation energy (no corrections) (eV/atom): -1.741
Symmetry: No. 229

a = 7.153 Å, b = 7.153 Å, c = 7.153 Å
α = 109.47°, β = 109.47°, γ = 109.47°
Each line ends with the local moment (μB).
Atoms (fractional coordinates):
K  0.500  0.500  0.500  0.00
K  0.000  0.000  0.500  0.00
K  0.500  0.000  0.000  0.00
K  0.000  0.500  0.000  0.00
Sr  0.000  0.000  0.000  0.01
Re  0.500  0.000  0.500  0.62
Re  0.500  0.500  0.000  0.62
Re  0.000  0.500  0.500  0.62
O  0.250  0.500  0.750  0.08
O  0.720  0.000  0.720  0.04
O  0.280  0.000  0.280  0.04
O  0.750  0.500  0.250  0.08
O  0.720  0.720  0.000  0.04
O  0.280  0.280  0.000  0.04
O  0.750  0.250  0.500  0.08
O  0.250  0.750  0.500  0.08
O  0.500  0.250  0.750  0.08
O  0.000  0.720  0.720  0.04
O  0.500  0.750  0.250  0.08
O  0.000  0.280  0.280  0.04